[1]
A plane-wave DFT calculation with PBE was carried out for an optimized crystal structure of V14CrW.

Cell and atoms, written as POSCAR:
```
V14CrW
1.0
5.197 0.175 0.000
-1.876 4.849 0.000
0.000 0.000 8.495
V Cr W
14 1 1
direct
0.125 0.875 0.000
0.875 0.125 0.756
0.375 0.625 0.756
0.370 0.120 0.748
0.875 0.125 0.244
0.880 0.630 0.748
0.125 0.375 0.500
0.625 0.875 0.500
0.125 0.375 0.000
0.375 0.625 0.244
0.625 0.375 0.000
0.880 0.630 0.252
0.370 0.120 0.252
0.625 0.875 0.000
0.125 0.875 0.500
0.625 0.375 0.500
```

Electronic total energy (eV per atom): -9.405
Crystal system: orthorhombic
Energy of formation (eV per formula unit): -0.2
Space group: Cmmm (65)

=====

[2]
A plane-wave DFT calculation with PBE was carried out for an optimized crystal structure of PrEr2Ti.

Cell and atoms, written as POSCAR:
```
PrEr2Ti
1.0
3.371 0.000 0.000
1.685 2.919 0.000
1.685 0.973 11.811
Pr Er Ti
1 2 1
direct
0.500 0.500 0.500
0.918 0.918 0.247
0.082 0.082 0.753
0.000 0.000 0.000
```

Electronic total energy (eV per atom): -5.013
Crystal system: trigonal
Energy of formation (eV per formula unit): 1.7
Space group: R-3m (166)

=====

[3]
A plane-wave DFT calculation with PBE was carried out for an optimized crystal structure of RbTbPb2Cl8.

Cell and atoms, written as POSCAR:
```
RbTbPb2Cl8
1.0
6.877 0.036 -0.004
0.085 6.606 -0.006
0.006 0.012 9.030
Cl Tb Pb Rb
8 1 2 1
direct
0.311 0.245 0.000
0.839 0.232 0.210
0.375 0.277 0.500
0.160 0.768 0.210
0.840 0.232 0.790
0.625 0.723 0.500
0.689 0.755 0.000
0.161 0.768 0.790
0.000 0.000 0.000
0.500 0.500 0.250
0.500 0.500 0.750
0.000 0.000 0.500
```

Electronic total energy (eV per atom): -3.978
ΔE_f (raw) (eV per atom): -1.662
Crystal system: monoclinic
Space group: P2/m (10)

=====

What is the electronic total energy in the second record?
-5.013 eV per atom

=====

The lowest electronic total energy belongs to which entry?
V14CrW